Entry from Alexandria: NbCr2GeP after structural relaxation (PBE-GGA).

Cell and atoms, written as POSCAR:
```
NbCr2GeP
1.0
4.1813 0.0000 0.0000
0.0000 4.1813 0.0000
0.0000 0.0000 4.6427
Nb Cr Ge P
1 2 1 1
direct
0.0000 0.0000 0.0000
0.0000 0.5000 0.5000
0.5000 0.0000 0.5000
0.5000 0.5000 0.0000
0.0000 0.0000 0.5000
```

spin magnetization	0.00	μB per formula unit
energy relative to the elements	0.42	eV per atom